1.
The following is a PBE calculation of Ca2AgHAu after structural relaxation, from the Alexandria database.

Properties
DOS(E_F), states/eV/atom: 0.43
SG: P4/mmm
Magnetic moment, μB per formula unit: 0.00
Energy above the most stable polymorph in this dataset, meV per atom: 0.0

a b c (Å): 5.002 5.002 3.949
angles (deg): 90.00 90.00 90.00
Fractional positions:
H: 0.000 0.000 0.000
Ca: 0.000 0.500 0.000
Ca: 0.500 0.000 0.000
Au: 0.500 0.500 0.500
Ag: 0.000 0.000 0.500

=====

2.
The following is a PBE calculation of TaMn2N3 after structural relaxation, from the Alexandria database.

Properties
DOS(E_F), states/eV/atom: 0.41
SG: C2/c
Magnetic moment, μB per formula unit: 6.26
Energy relative to the elements, uncorrected, meV/atom: -293
Energy above the most stable polymorph in this dataset, meV per atom: 212.7

a b c (Å): 5.682 5.682 10.655
angles (deg): 84.13 84.13 125.03
Each line ends with the local moment (μB).
Fractional positions:
Ta: 0.601 0.670 0.369  -0.13
Ta: 0.330 0.399 0.131  -0.13
Ta: 0.399 0.330 0.631  -0.13
Ta: 0.670 0.601 0.869  -0.13
Mn: 0.555 0.963 0.165  3.18
Mn: 0.037 0.445 0.335  3.18
Mn: 0.445 0.037 0.835  3.18
Mn: 0.963 0.555 0.665  3.18
Mn: 0.205 0.041 0.384  2.94
Mn: 0.959 0.795 0.116  2.94
Mn: 0.795 0.959 0.616  2.94
Mn: 0.041 0.205 0.884  2.94
N: 0.595 0.405 0.250  0.04
N: 0.405 0.595 0.750  0.04
N: 0.362 0.833 0.350  -0.07
N: 0.167 0.638 0.150  -0.07
N: 0.638 0.167 0.650  -0.07
N: 0.833 0.362 0.850  -0.07
N: 0.693 0.833 0.012  0.03
N: 0.167 0.307 0.488  0.03
N: 0.307 0.167 0.988  0.03
N: 0.833 0.693 0.512  0.03
N: 0.940 0.060 0.250  0.08
N: 0.060 0.940 0.750  0.08